1.
# Tl2CdCo3F12 | Alexandria via LeMat-Bulk | PBE+U | relaxed
data_Tl2CdCo3F12
_space_group_name_H-M_alt 'P 1'
_space_group_IT_number 1
_cell_length_a 7.332
_cell_length_b 7.332
_cell_length_c 7.332
_cell_angle_alpha 60.87
_cell_angle_beta 60.87
_cell_angle_gamma 60.87
loop_
_space_group_symop_operation_xyz
'x,y,z'
loop_
_atom_site_label
_atom_site_type_symbol
_atom_site_fract_x
_atom_site_fract_y
_atom_site_fract_z
_atom_site_occupancy
F1 F 0.101 0.626 0.101 1
F2 F 0.082 0.703 0.703 1
F3 F 0.626 0.101 0.101 1
F4 F 0.297 0.297 0.918 1
F5 F 0.374 0.899 0.899 1
F6 F 0.297 0.918 0.297 1
F7 F 0.918 0.297 0.297 1
F8 F 0.899 0.899 0.374 1
F9 F 0.703 0.703 0.082 1
F10 F 0.703 0.082 0.703 1
F11 F 0.899 0.374 0.899 1
F12 F 0.101 0.101 0.626 1
Cd1 Cd 0.000 0.000 0.000 1
Co1 Co 0.500 0.000 0.000 1
Co2 Co 0.000 0.500 0.000 1
Co3 Co 0.000 0.000 0.500 1
Tl1 Tl 0.371 0.371 0.371 1
Tl2 Tl 0.629 0.629 0.629 1
# * total magnetic moment: 6.91 μB per formula unit
# * crystal system: trigonal
# * uncorrected energy: -4.37 eV per atom

***

2.
# TmCdCoF6 | Alexandria via LeMat-Bulk | PBE+U | relaxed
data_TmCdCoF6
_space_group_name_H-M_alt 'P 1'
_space_group_IT_number 1
_cell_length_a 5.696
_cell_length_b 5.696
_cell_length_c 10.716
_cell_angle_alpha 90.00
_cell_angle_beta 90.00
_cell_angle_gamma 120.00
loop_
_space_group_symop_operation_xyz
'x,y,z'
loop_
_atom_site_label
_atom_site_type_symbol
_atom_site_fract_x
_atom_site_fract_y
_atom_site_fract_z
_atom_site_occupancy
F1 F 0.637 0.626 0.146 1
F2 F 0.374 0.363 0.354 1
F3 F 0.374 0.011 0.146 1
F4 F 0.363 0.374 0.854 1
F5 F 0.011 0.374 0.646 1
F6 F 0.363 0.989 0.646 1
F7 F 0.989 0.626 0.354 1
F8 F 0.626 0.637 0.646 1
F9 F 0.637 0.011 0.354 1
F10 F 0.989 0.363 0.146 1
F11 F 0.626 0.989 0.854 1
F12 F 0.011 0.637 0.854 1
Tm1 Tm 0.667 0.333 0.750 1
Tm2 Tm 0.333 0.667 0.250 1
Co1 Co 0.333 0.667 0.750 1
Co2 Co 0.667 0.333 0.250 1
Cd1 Cd 0.000 0.000 0.500 1
Cd2 Cd 0.000 0.000 0.000 1
# * total magnetic moment: 2.30 μB per formula unit
# * crystal system: trigonal
# * uncorrected energy: -5.16 eV per atom

***

3.
# VCdCoF6 | Alexandria via LeMat-Bulk | PBE+U | relaxed
data_VCdCoF6
_space_group_name_H-M_alt 'P 1'
_space_group_IT_number 1
_cell_length_a 5.451
_cell_length_b 5.451
_cell_length_c 9.565
_cell_angle_alpha 90.00
_cell_angle_beta 90.00
_cell_angle_gamma 120.00
loop_
_space_group_symop_operation_xyz
'x,y,z'
loop_
_atom_site_label
_atom_site_type_symbol
_atom_site_fract_x
_atom_site_fract_y
_atom_site_fract_z
_atom_site_occupancy
F1 F 0.008 0.658 0.365 1
F2 F 0.992 0.650 0.865 1
F3 F 0.008 0.350 0.135 1
F4 F 0.650 0.658 0.135 1
F5 F 0.342 0.350 0.365 1
F6 F 0.992 0.342 0.635 1
F7 F 0.342 0.992 0.135 1
F8 F 0.350 0.342 0.865 1
F9 F 0.650 0.992 0.365 1
F10 F 0.350 0.008 0.635 1
F11 F 0.658 0.008 0.865 1
F12 F 0.658 0.650 0.635 1
Cd1 Cd 0.000 0.000 0.000 1
Cd2 Cd 0.000 0.000 0.500 1
Co1 Co 0.667 0.333 0.750 1
Co2 Co 0.333 0.667 0.250 1
V1 V 0.667 0.333 0.250 1
V2 V 0.333 0.667 0.750 1
# * total magnetic moment: 6.00 μB per formula unit
# * crystal system: trigonal
# * uncorrected energy: -5.06 eV per atom